Crystalline ZrScAu at its relaxed geometry. Source: Alexandria, functional GGA-PBE.

## Properties
Volume   21.1 Å³ per atom
ΔE to the lowest computed polymorph   0.0242 eV per atom
DFT formation energy   -0.45 eV per atom

a = 6.229 Å, b = 6.228 Å, c = 3.313 Å
α = 74.58°, β = 74.58°, γ = 30.85°
Fractional coordinates of all 3 atoms:
Au (0.004, 0.004, 0.996)
Sc (0.657, 0.657, 0.343)
Zr (0.340, 0.340, 0.660)